Computed, not measured: crystalline Na3Li2Hg4 at its relaxed geometry at the PBE level of DFT.

Properties
The calculation puts the energy above the most stable polymorph in this dataset at 0 meV/atom. As for the energy relative to the elements: -0.2342 eV/atom. As for the total energy: -1.23 eV per atom.

The structure in CIF format:
```
data_Na3Li2Hg4
_chemical_formula_sum 'Na3 Li2 Hg4'
_symmetry_space_group_name_H-M 'P 1'
_symmetry_Int_Tables_number 1
_cell_length_a 5.258
_cell_length_b 5.258
_cell_length_c 9.225
_cell_angle_alpha 95.28
_cell_angle_beta 95.28
_cell_angle_gamma 58.10
loop_
_symmetry_equiv_pos_as_xyz
'x,y,z'
loop_
_atom_site_label
_atom_site_type_symbol
_atom_site_fract_x
_atom_site_fract_y
_atom_site_fract_z
Na1 Na 0.000 0.000 0.000
Na2 Na 0.368 0.368 0.241
Na3 Na 0.632 0.632 0.759
Li1 Li 0.295 0.295 0.585
Li2 Li 0.705 0.705 0.415
Hg1 Hg 0.056 0.056 0.355
Hg2 Hg 0.317 0.317 0.887
Hg3 Hg 0.683 0.683 0.113
Hg4 Hg 0.944 0.944 0.645
```